# NaMnRe2B

A relaxed structure of NaMnRe2B (PBE, the Alexandria database). Values from VASP.

```
&SYSTEM
  ibrav = 0, nat = 5, ntyp = 4
/
ATOMIC_SPECIES
Mn 54.94 Mn.upf
Na 22.99 Na.upf
Re 186.21 Re.upf
B 10.81 B.upf
CELL_PARAMETERS angstrom
-1.5144 -2.8256 3.1969
-0.3377 -2.8419 -2.6717
4.2487 -1.3092 0.8556
ATOMIC_POSITIONS angstrom
Mn 0.0000 0.0000 0.0000
Na 1.1983 -3.4883 0.6904
Re 2.1244 -0.6546 0.4278
Re -0.7572 -1.4128 1.5985
B -0.1688 -1.4210 -1.3359
```

Output
energy of formation = 1566.0 meV per atom
final energy = -34.2 eV for the cell shown
size of the total moment = 0.5 μB per cell